# 1
ReP2PdS | PBE | optimized geometry

a = 4.571 Å, b = 4.571 Å, c = 4.647 Å
α = 90.00°, β = 90.00°, γ = 90.00°
Each line ends with the local moment (μB).
Fractional coordinates of all 5 atoms:
P  0.500  0.000  0.000  -0.19
P  0.000  0.500  0.000  -0.19
Re  0.500  0.500  0.500  2.79
S  0.000  0.000  0.500  -0.12
Pd  0.000  0.000  0.000  -0.05

Values from the calculation:
- Crystal system: tetragonal
- Excess energy over the best structure of this formula in the dataset: 737 meV per atom
- Formation energy (no corrections): 1.44 eV/atom

=====

# 2
La2DyHg5 | PBE | optimized geometry

a = 5.265 Å, b = 5.265 Å, c = 8.561 Å
α = 107.91°, β = 107.91°, γ = 90.00°
Each line ends with the local moment (μB).
Fractional coordinates of all 8 atoms:
Hg  0.500  0.500  0.000  0.00
Hg  0.385  0.885  0.771  0.00
Hg  0.115  0.615  0.229  0.00
Hg  0.615  0.115  0.229  0.00
Hg  0.885  0.385  0.771  0.00
Dy  0.000  0.000  0.000  -0.01
La  0.735  0.735  0.470  0.06
La  0.265  0.265  0.530  0.06

Values from the calculation:
- DFT formation energy: -42 kJ per mole of atoms
- Crystal system: tetragonal